Record 1
Entry from the Alexandria database: a relaxed structure of Fe3Ni2Ir (GGA-PBE).

Output
* ΔE_f: -0.034 eV/atom
* size of the total moment: 8.99 μB per formula unit
* space group: Cmmm (65)

The structure in POSCAR format:
```
Fe3Ni2Ir
1.0
-3.0182 -1.5041 1.4083
-0.0585 -5.6030 -1.3680
3.5848 -1.5175 6.0621
Ni Fe Ir
4 6 2
direct
0.0000 0.0000 0.0000
0.0000 0.0000 0.5000
0.6665 0.6670 0.5000
0.3335 0.3330 0.5000
0.1649 0.6702 0.2589
0.5000 0.0000 0.7425
0.8351 0.3298 0.2589
0.8351 0.3298 0.7411
0.1649 0.6702 0.7411
0.5000 0.0000 0.2575
0.6627 0.6746 0.0000
0.3373 0.3254 0.0000
```


Record 2
Entry from the Alexandria database: a relaxed structure of TiSe2IBr (GGA-PBE).

Output
* size of the total moment: 0.00 μB per formula unit
* VASP energy: -3.941 eV/atom
* space group: P4/mmm (123)

The structure in POSCAR format:
```
TiSe2IBr
1.0
-3.9920 -2.7869 1.3471
-0.2516 -1.8990 -4.6742
3.1167 -3.7994 1.3758
Br Se I Ti
1 2 1 1
direct
0.0000 0.0000 0.5000
0.0000 0.5000 0.0000
0.5000 0.0000 0.0000
0.5000 0.5000 0.5000
0.0000 0.0000 0.0000
```


Record 3
Entry from the Alexandria database: a relaxed structure of Pr2Sm5Dy12 (GGA-PBE).

Output
* ΔE_f: 0.083 eV/atom
* size of the total moment: 0.00 μB per formula unit
* space group: P-1 (2)

The structure in POSCAR format:
```
Pr2Sm5Dy12
1.0
0.3230 -3.8057 5.6046
1.1787 -5.8181 -11.6720
7.1556 5.1535 8.8103
Sm Dy Pr
5 12 2
direct
0.3906 0.2533 0.2400
0.0000 0.0000 0.5000
0.6094 0.7467 0.7600
0.4132 0.7765 0.3150
0.5868 0.2235 0.6850
0.5219 0.6142 0.9274
0.9283 0.6427 0.0567
0.4781 0.3858 0.0726
0.1323 0.9692 0.7195
0.1509 0.4093 0.6431
0.8677 0.0308 0.2805
0.8491 0.5908 0.3569
0.6121 0.0310 0.8081
0.7140 0.3876 0.5220
0.0717 0.3573 0.9433
0.2860 0.6124 0.4780
0.3879 0.9690 0.1919
0.9150 0.1898 0.1174
0.0850 0.8102 0.8826
```


Record 4
Entry from the Alexandria database: a relaxed structure of Ce2SnBi (GGA-PBE).

Output
* ΔE_f: -0.536 eV/atom
* size of the total moment: 2.25 μB per formula unit
* space group: Fm-3m (225)

The structure in POSCAR format:
```
Ce2SnBi
1.0
5.5116 0.0000 0.0000
2.7558 4.7732 0.0000
2.7558 1.5911 4.5002
Ce Sn Bi
2 1 1
direct
0.7500 0.7500 0.7500
0.2500 0.2500 0.2500
0.5000 0.5000 0.5000
0.0000 0.0000 0.0000
```


Record 5
Entry from the Alexandria database: a relaxed structure of Li4ErP2 (GGA-PBE).

Output
* ΔE_f: -0.802 eV/atom
* size of the total moment: 0.27 μB per formula unit
* space group: P4_2/mnm (136)

The structure in POSCAR format:
```
Li4ErP2
1.0
-2.5918 -2.9203 -0.7653
-0.9121 -1.0906 7.2505
-5.5314 4.8983 0.0409
Er Li P
2 8 4
direct
0.5000 0.0000 0.0000
0.0000 0.5000 0.5000
0.0000 0.9023 0.6640
0.0000 0.3360 0.0977
0.0000 0.6640 0.9023
0.5000 0.5977 0.1640
0.5000 0.8360 0.4023
0.0000 0.0977 0.3360
0.5000 0.1640 0.5977
0.5000 0.4023 0.8360
0.5000 0.7091 0.7091
0.0000 0.2091 0.7909
0.5000 0.2909 0.2909
0.0000 0.7909 0.2091
```


Record 6
Entry from the Alexandria database: a relaxed structure of Tl2PPbSe4 (GGA-PBE).

Output
* size of the total moment: 0.00 μB per formula unit
* VASP energy: -3.737 eV/atom
* space group: C2 (5)

The structure in POSCAR format:
```
Tl2PPbSe4
1.0
-7.2512 -5.1032 0.6319
5.0282 -6.8562 2.5925
0.4395 7.7937 4.2236
P Se Tl Pb
2 8 4 2
direct
0.9805 0.0410 0.9312
0.4591 0.5196 0.5689
0.7932 0.2055 0.9788
0.7105 0.7114 0.9296
0.2944 0.7068 0.5212
0.2787 0.2991 0.5305
0.2503 0.7247 0.9854
0.7886 0.7894 0.5704
0.7753 0.2497 0.5146
0.2009 0.2212 0.9696
0.4894 0.0080 0.4813
0.9846 0.9864 0.4710
0.4920 0.0106 0.0186
0.5136 0.5154 0.0291
0.9973 0.5084 0.9871
0.9915 0.5027 0.5129
```


The records above give, respectively, V values of 144.0 130.2 627.6 118.4 217.2 485.7 Å³ per cell.
The records above give, respectively, calculated density values of 11.00 5.26 7.89 8.53 3.93 6.58 g cm⁻³.